Computed, not measured: a relaxed structure of NaS2NO4F2 at the PBE-GGA level of DFT.

Values from the calculation:
Total DFT energy (no corrections)   -5.48 eV per atom
Theoretical density   2.18 Mg/m³
Space-group type   P2_1/c, No. 14

Unit cell a=7.5850 b=9.2710 c=9.1662 alpha=90.00 beta=106.62 gamma=90.00
Closest atoms and distances in Å follow each position.
Fractional positions:
Na  0.2494  0.0160  0.4358  4 O 2.33-2.45
Na  0.2494  0.4840  0.9358  4 O 2.33-2.45
Na  0.7506  0.5160  0.0642  4 O 2.33-2.45
Na  0.7506  0.9840  0.5642  4 O 2.33-2.45
S  0.1328  0.7268  0.6153  2 O 1.43-1.44, 1 N 1.59, 1 F 1.60
S  0.1328  0.7732  0.1153  2 O 1.43-1.44, 1 N 1.59, 1 F 1.60
S  0.4825  0.2227  0.7696  2 O 1.43-1.45, 1 N 1.58
S  0.4825  0.2773  0.2696  2 O 1.43-1.45, 1 N 1.58
S  0.5175  0.7227  0.7304  2 O 1.43-1.45, 1 N 1.58
S  0.5175  0.7773  0.2304  2 O 1.43-1.45, 1 N 1.58
S  0.8672  0.2268  0.8847  2 O 1.43-1.44, 1 N 1.59, 1 F 1.60
S  0.8672  0.2732  0.3847  2 O 1.43-1.44, 1 N 1.59, 1 F 1.60
N  0.3299  0.7023  0.1419  2 S 1.58-1.59
N  0.3299  0.7977  0.6419  2 S 1.58-1.59
N  0.6701  0.2023  0.3581  2 S 1.58-1.59
N  0.6701  0.2977  0.8581  2 S 1.58-1.59
O  0.0006  0.6622  0.0523  1 S 1.44
O  0.0006  0.8378  0.5523  1 S 1.44
O  0.1060  0.6368  0.7346  1 S 1.43
O  0.1060  0.8632  0.2346  1 S 1.43
O  0.3362  0.1764  0.2591  1 S 1.43
O  0.3362  0.3236  0.7591  1 S 1.43
O  0.4847  0.1419  0.6352  1 S 1.45
O  0.4847  0.3581  0.1352  1 S 1.45
O  0.5153  0.6419  0.8648  1 S 1.45
O  0.5153  0.8581  0.3648  1 S 1.45
O  0.6638  0.6764  0.2409  1 S 1.43
O  0.6638  0.8236  0.7409  1 S 1.43
O  0.8940  0.1368  0.7654  1 S 1.43
O  0.8940  0.3632  0.2654  1 S 1.43
O  0.9994  0.1622  0.4477  1 S 1.44
O  0.9994  0.3378  0.9477  1 S 1.44
F  0.1202  0.6184  0.4766  1 S 1.60
F  0.1202  0.8816  0.9766  1 S 1.60
F  0.4550  0.1009  0.8856  1 S 1.61
F  0.4550  0.3991  0.3856  1 S 1.61
F  0.5450  0.6009  0.6144  1 S 1.61
F  0.5450  0.8991  0.1144  1 S 1.61
F  0.8798  0.1184  0.0234  1 S 1.60
F  0.8798  0.3816  0.5234  1 S 1.60

---

Computed, not measured: a relaxed structure of NaOsN2F at the PBE-GGA level of DFT.

Values from the calculation:
Total DFT energy (no corrections)   -4.07 eV per atom
Theoretical density   7.00 Mg/m³
Space-group type   P4/mmm, No. 123
Excess energy over the best structure of this formula in the dataset   2430 meV/atom

Unit cell a=4.0847 b=4.0847 c=3.7011 alpha=90.00 beta=90.00 gamma=90.00
Closest atoms and distances in Å follow each position.
Fractional positions:
Na  0.0000  0.0000  0.0000  2 F 1.85, 4 N 2.04
Os  0.5000  0.5000  0.5000  8 N 2.76, 4 F 2.89
N  0.0000  0.5000  0.0000  2 Na 2.04
N  0.5000  0.0000  0.0000  2 Na 2.04
F  0.0000  0.0000  0.5000  2 Na 1.85

---

Computed, not measured: a relaxed structure of NaOsN2F at the PBE-GGA level of DFT.

Values from the calculation:
Total DFT energy (no corrections)   -6.50 eV per atom
Theoretical density   6.59 Mg/m³
Space-group type   P4/mmm, No. 123
Excess energy over the best structure of this formula in the dataset   0 meV/atom

Unit cell a=3.7983 b=3.7983 c=4.5444 alpha=90.00 beta=90.00 gamma=90.00
Closest atoms and distances in Å follow each position.
Fractional positions:
Na  0.0000  0.0000  0.0000  4 F 2.69, 8 N 2.96
Os  0.5000  0.5000  0.5000  4 N 1.90
N  0.0000  0.5000  0.5000  2 Os 1.90
N  0.5000  0.0000  0.5000  2 Os 1.90
F  0.5000  0.5000  0.0000  2 Os 2.27

---

Computed, not measured: a relaxed structure of NaPN2F at the PBE-GGA level of DFT.

Values from the calculation:
Total DFT energy (no corrections)   -5.72 eV per atom
Theoretical density   2.42 Mg/m³
Space-group type   P2_1/m, No. 11
Excess energy over the best structure of this formula in the dataset   0 meV/atom

Unit cell a=5.8023 b=3.5269 c=7.1709 alpha=90.00 beta=108.93 gamma=90.00
Closest atoms and distances in Å follow each position.
Fractional positions:
Na  0.0763  0.2500  0.3219  3 N 2.37-2.47, 2 F 2.39
Na  0.9237  0.7500  0.6781  3 N 2.37-2.47, 2 F 2.39
P  0.4660  0.2500  0.8537  2 N 1.59-1.71, 1 F 1.70
P  0.5340  0.7500  0.1463  2 N 1.59-1.71, 1 F 1.70
N  0.2195  0.2500  0.6719  1 P 1.59
N  0.4884  0.7500  0.8989  3 P 1.71-1.79
N  0.5116  0.2500  0.1011  3 P 1.71-1.79
N  0.7805  0.7500  0.3281  1 P 1.59
F  0.2740  0.7500  0.2060  1 P 1.70
F  0.7260  0.2500  0.7940  1 P 1.70